(1)
RbTa: optimized geometry, PBE-GGA.

Unit cell a=3.211 b=4.307 c=11.512 alpha=90.00 beta=90.00 gamma=90.00
Positions (direct):
Rb  0.250  0.250  0.202
Rb  0.750  0.750  0.798
Ta  0.250  0.750  0.493
Ta  0.750  0.250  0.507

Results
- polymorph energy (0 for the lowest one) (eV/atom) = 0.1969
- energy of formation (meV per atom) = 989
- DOS(E_F) (states/eV/f.u.) = 2.13

(2)
Tb4Mg3Co2: optimized geometry, PBE-GGA.

Unit cell a=7.548 b=3.691 c=8.220 alpha=90.00 beta=109.64 gamma=90.00
Positions (direct):
Tb  0.098  0.000  0.226
Tb  0.398  0.000  0.676
Tb  0.602  0.000  0.324
Tb  0.902  0.000  0.774
Mg  0.000  0.500  0.500
Mg  0.294  0.500  0.002
Mg  0.706  0.500  0.998
Co  0.351  0.500  0.392
Co  0.649  0.500  0.608

Results
- energy of formation (meV per atom) = -160
- DOS(E_F) (states/eV/f.u.) = 8.50

(3)
Ag2BiPd: optimized geometry, PBE-GGA.

Unit cell a=4.165 b=4.165 c=4.578 alpha=90.00 beta=90.00 gamma=90.00
Positions (direct):
Ag  0.000  0.500  0.000
Ag  0.500  0.000  0.000
Bi  0.000  0.000  0.500
Pd  0.500  0.500  0.500

Results
- energy of formation (meV per atom) = -28
- DOS(E_F) (states/eV/f.u.) = 1.75

(4)
CaTl12Pb6: optimized geometry, PBE-GGA.

Unit cell a=8.950 b=8.950 c=8.950 alpha=106.10 beta=106.10 gamma=106.10
Positions (direct):
Ca  0.000  0.000  0.000
Tl  0.058  0.280  0.807
Tl  0.189  0.524  0.630
Tl  0.193  0.942  0.720
Tl  0.280  0.807  0.058
Tl  0.370  0.811  0.476
Tl  0.476  0.370  0.811
Tl  0.524  0.630  0.189
Tl  0.630  0.189  0.524
Tl  0.720  0.193  0.942
Tl  0.807  0.058  0.280
Tl  0.811  0.476  0.370
Tl  0.942  0.720  0.193
Pb  0.140  0.413  0.229
Pb  0.229  0.140  0.413
Pb  0.413  0.229  0.140
Pb  0.587  0.771  0.860
Pb  0.771  0.860  0.587
Pb  0.860  0.587  0.771

Results
- polymorph energy (0 for the lowest one) (eV/atom) = 0.0147
- energy of formation (meV per atom) = -5
- DOS(E_F) (states/eV/f.u.) = 9.29

(5)
Sm2ScPb3: optimized geometry, PBE-GGA.

Unit cell a=8.880 b=8.880 c=6.154 alpha=104.34 beta=104.34 gamma=122.71
Positions (direct):
Sm  0.080  0.920  0.750
Sm  0.241  0.759  0.250
Sm  0.759  0.241  0.750
Sm  0.920  0.080  0.250
Sc  0.409  0.591  0.750
Sc  0.591  0.409  0.250
Pb  0.000  0.500  0.500
Pb  0.199  0.354  0.018
Pb  0.354  0.199  0.518
Pb  0.500  0.000  0.000
Pb  0.646  0.801  0.482
Pb  0.801  0.646  0.982

Results
- energy of formation (meV per atom) = -414
- DOS(E_F) (states/eV/f.u.) = 4.71

(6)
TaMnCo2: optimized geometry, PBE-GGA.

Unit cell a=4.163 b=4.163 c=4.163 alpha=60.00 beta=60.00 gamma=60.00
Positions (direct):
Ta  0.000  0.000  0.000
Mn  0.250  0.250  0.250
Co  0.500  0.500  0.500
Co  0.750  0.750  0.750

Results
- polymorph energy (0 for the lowest one) (eV/atom) = 0.1442
- energy of formation (meV per atom) = -5
- DOS(E_F) (states/eV/f.u.) = 5.63

(7)
Sc2VInH: optimized geometry, PBE-GGA.

Unit cell a=4.695 b=4.695 c=3.770 alpha=90.00 beta=90.00 gamma=90.00
Positions (direct):
Sc  0.000  0.500  0.000
Sc  0.500  0.000  0.000
V  0.000  0.000  0.500
In  0.500  0.500  0.500
H  0.000  0.000  0.000

Results
- DOS(E_F) (states/eV/f.u.) = 4.51
- E_tot (eV/cell) = -28.9

(8)
MgTl2Tc: optimized geometry, PBE-GGA.

Unit cell a=3.704 b=3.704 c=6.044 alpha=90.00 beta=90.00 gamma=90.00
Positions (direct):
Mg  0.000  0.000  0.000
Tl  0.000  0.000  0.446
Tl  0.500  0.500  0.744
Tc  0.500  0.500  0.224

Results
- polymorph energy (0 for the lowest one) (eV/atom) = 0.0432
- energy of formation (meV per atom) = 438
- DOS(E_F) (states/eV/f.u.) = 3.48

(9)
Ca2PO: optimized geometry, PBE-GGA.

Unit cell a=6.147 b=6.147 c=6.147 alpha=114.74 beta=114.74 gamma=99.38
Positions (direct):
Ca  0.047  0.125  0.422
Ca  0.375  0.953  0.078
Ca  0.703  0.625  0.578
Ca  0.875  0.297  0.922
P  0.250  0.750  0.500
P  0.500  0.500  0.000
O  0.000  0.000  0.000
O  0.750  0.250  0.500

Results
- uncorrected formation energy (kJ per mole of atoms) = -159.4
- polymorph energy (0 for the lowest one) (eV/atom) = 0.0000
- DOS(E_F) (states/eV/f.u.) = 0.01

(10)
Ta2Pd7Au: optimized geometry, PBE-GGA.

Unit cell a=7.590 b=7.590 c=4.213 alpha=90.00 beta=90.00 gamma=123.71
Positions (direct):
Ta  0.198  0.802  0.000
Ta  0.802  0.198  0.000
Pd  0.000  0.000  0.000
Pd  0.201  0.422  0.000
Pd  0.297  0.703  0.500
Pd  0.422  0.201  0.000
Pd  0.578  0.799  0.000
Pd  0.703  0.297  0.500
Pd  0.799  0.578  0.000
Au  0.500  0.500  0.500

Results
- energy of formation (meV per atom) = 262
- DOS(E_F) (states/eV/f.u.) = 6.60

(11)
ThMgGe2: optimized geometry, PBE-GGA.

Unit cell a=10.920 b=10.920 c=10.920 alpha=157.99 beta=157.99 gamma=31.32
Positions (direct):
Th  0.109  0.109  0.000
Th  0.891  0.891  0.000
Mg  0.250  0.750  0.500
Mg  0.750  0.250  0.500
Ge  0.000  0.500  0.500
Ge  0.338  0.338  0.000
Ge  0.500  0.000  0.500
Ge  0.662  0.662  0.000

Results
- energy of formation (meV per atom) = -533
- DOS(E_F) (states/eV/f.u.) = 0.58

(12)
ErHf2N: optimized geometry, PBE-GGA.

Unit cell a=8.971 b=8.971 c=8.971 alpha=20.67 beta=20.67 gamma=20.67
Positions (direct):
Er  0.000  0.000  0.000
Hf  0.120  0.120  0.120
Hf  0.880  0.880  0.880
N  0.500  0.500  0.500

Results
- uncorrected formation energy (kJ per mole of atoms) = -62.7
- DOS(E_F) (states/eV/f.u.) = 1.89

(13)
VGa2SiH: optimized geometry, PBE-GGA.

Unit cell a=4.985 b=4.985 c=3.223 alpha=90.00 beta=90.00 gamma=90.00
Positions (direct):
V  0.000  0.000  0.000
Ga  0.000  0.500  0.000
Ga  0.500  0.000  0.000
Si  0.500  0.500  0.500
H  0.000  0.000  0.500

Results
- DOS(E_F) (states/eV/f.u.) = 3.01
- E_tot (eV/cell) = -21.1